# 1
The following is a GGA-PBE calculation of crystalline Pm3PSN at its relaxed geometry, from Alexandria via LeMat-Bulk.

Cell lengths 4.0276, 8.2105, 9.4845 Å; angles 99.51, 90.00, 90.00 degrees
Element x y z (fractional)
1 P 0.2500 0.6523 0.1516
2 P 0.7500 0.3477 0.8484
3 Pm 0.7500 0.1797 0.5273
4 Pm 0.2500 0.5940 0.8507
5 Pm 0.7500 0.4060 0.1493
6 Pm 0.2500 0.0985 0.8416
7 Pm 0.7500 0.9015 0.1584
8 Pm 0.2500 0.8203 0.4727
9 S 0.2500 0.1641 0.1767
10 S 0.7500 0.8359 0.8233
11 N 0.7500 0.9163 0.3960
12 N 0.2500 0.0837 0.6040

Summary:
Calculated density ... 5.50 Mg/m³
E_form (uncorrected) ... -1524 meV/atom
Energy ... -6.877 eV per atom
V ... 309 Å³/cell

***

# 2
The following is a GGA-PBE calculation of crystalline TiMn2Pd9 at its relaxed geometry, from Alexandria via LeMat-Bulk.

Cell lengths 3.9229, 3.9229, 11.7548 Å; angles 90.00, 90.00, 90.00 degrees
Site moments in Bohr magnetons follow the coordinates.
Element x y z (fractional)
1 Pd 0.0000 0.5000 0.1642  0.03
2 Pd 0.5000 0.5000 0.0000  -0.03
3 Pd 0.5000 0.5000 0.6681  0.08
4 Pd 0.0000 0.5000 0.8358  0.03
5 Pd 0.5000 0.5000 0.3319  0.08
6 Pd 0.5000 0.0000 0.8358  0.03
7 Pd 0.5000 0.0000 0.5000  0.09
8 Pd 0.5000 0.0000 0.1642  0.03
9 Pd 0.0000 0.5000 0.5000  0.09
10 Mn 0.0000 0.0000 0.6643  3.84
11 Mn 0.0000 0.0000 0.3357  3.84
12 Ti 0.0000 0.0000 0.0000  -0.18

Summary:
Calculated density ... 10.24 Mg/m³
Energy relative to the elements ... -0.371 eV/atom
Energy ... -6.452 eV per atom
V ... 181 Å³/cell

***

# 3
The following is a GGA-PBE calculation of crystalline MgAsP at its relaxed geometry, from Alexandria via LeMat-Bulk.

Cell lengths 3.7473, 3.7473, 8.2412 Å; angles 90.00, 90.00, 90.00 degrees
Element x y z (fractional)
1 As 0.0000 0.5000 0.5530
2 As 0.5000 0.0000 0.4470
3 P 0.5000 0.5000 0.0000
4 P 0.0000 0.0000 0.0000
5 Mg 0.5000 0.0000 0.7724
6 Mg 0.0000 0.5000 0.2276

Summary:
Calculated density ... 3.74 Mg/m³
Energy relative to the elements ... -0.128 eV/atom
Energy relative to the lowest polymorph listed for this composition ... 0.31 eV/f.u.
Energy ... -4.012 eV per atom
V ... 116 Å³/cell

***

# 4
The following is a GGA-PBE calculation of crystalline LaNd2Br8 at its relaxed geometry, from Alexandria via LeMat-Bulk.

Cell lengths 5.7819, 8.0173, 8.0173 Å; angles 111.33, 99.19, 99.19 degrees
Site moments in Bohr magnetons follow the coordinates.
Element x y z (fractional)
1 Br 0.5000 0.7658 0.2342  0.00
2 Br 0.0822 0.0654 0.3214  0.00
3 Br 0.9178 0.6786 0.9346  0.00
4 Br 0.9178 0.9346 0.6786  0.00
5 Br 0.6758 0.3667 0.3667  0.00
6 Br 0.5000 0.2342 0.7658  0.00
7 Br 0.0822 0.3214 0.0654  0.00
8 Br 0.3242 0.6333 0.6333  0.00
9 La 0.5000 0.0000 0.0000  0.38
10 Nd 0.0000 0.3175 0.6825  0.17
11 Nd 0.0000 0.6825 0.3175  0.17

Summary:
Calculated density ... 5.33 Mg/m³
E_form (uncorrected) ... -1711 meV/atom
Energy ... -4.242 eV per atom
V ... 332 Å³/cell